(1)
# In3IrRu, relaxed, DFT PBE
# Formation energy from the elements in eV per atom: 0.768
data_In3IrRu
_chemical_formula_sum 'In3 Ir1 Ru1'
_space_group_name_H-M_alt 'P m -3 m'
_space_group_IT_number 221
_space_group_name_Hall '-P 4 2 3'
_cell_length_a 5.0835
_cell_length_b 5.0835
_cell_length_c 5.0835
_cell_angle_alpha 90.00
_cell_angle_beta 90.00
_cell_angle_gamma 90.00
loop_
_atom_site_label
_atom_site_type_symbol
_atom_site_fract_x
_atom_site_fract_y
_atom_site_fract_z
In1 In 0.0000 0.0000 0.5000
Ir1 Ir 0.0000 0.0000 0.0000
Ru1 Ru 0.5000 0.5000 0.5000


(2)
# Sc5In2Ir2Ru, relaxed, DFT PBE
# Formation energy from the elements in eV per atom: -0.599
data_Sc5In2Ir2Ru
_chemical_formula_sum 'Sc10 In4 Ir4 Ru2'
_space_group_name_H-M_alt 'P 4/m b m'
_space_group_IT_number 127
_space_group_name_Hall '-P 4 2ab'
_cell_length_a 11.2143
_cell_length_b 11.2143
_cell_length_c 3.2244
_cell_angle_alpha 90.00
_cell_angle_beta 90.00
_cell_angle_gamma 90.00
loop_
_atom_site_label
_atom_site_type_symbol
_atom_site_fract_x
_atom_site_fract_y
_atom_site_fract_z
Sc1 Sc 0.0000 0.5000 0.0000
Sc2 Sc 0.0637 0.1903 0.0000
In1 In 0.1749 0.6749 0.5000
Ir1 Ir 0.1357 0.3643 0.5000
Ru1 Ru 0.0000 0.0000 0.5000


(3)
# In2IrRuSe, relaxed, DFT PBE
# ΔE_f (raw) in eV per formula unit: 6.43
data_In2IrRuSe
_chemical_formula_sum 'In2 Ir1 Ru1 Se1'
_space_group_name_H-M_alt 'P 4/m m m'
_space_group_IT_number 123
_space_group_name_Hall '-P 4 2'
_cell_length_a 5.1233
_cell_length_b 5.1233
_cell_length_c 4.4506
_cell_angle_alpha 90.00
_cell_angle_beta 90.00
_cell_angle_gamma 90.00
loop_
_atom_site_label
_atom_site_type_symbol
_atom_site_fract_x
_atom_site_fract_y
_atom_site_fract_z
In1 In 0.0000 0.5000 0.0000
Ir1 Ir 0.0000 0.0000 0.5000
Ru1 Ru 0.5000 0.5000 0.5000
Se1 Se 0.5000 0.5000 0.0000


(4)
# InSnIrRu, relaxed, DFT PBE
# Formation energy from the elements in eV per atom: -0.048
data_InSnIrRu
_chemical_formula_sum 'In4 Sn4 Ir4 Ru4'
_space_group_name_H-M_alt 'F -4 3 m'
_space_group_IT_number 216
_space_group_name_Hall 'F -4 2 3'
_cell_length_a 6.4902
_cell_length_b 6.4902
_cell_length_c 6.4902
_cell_angle_alpha 90.00
_cell_angle_beta 90.00
_cell_angle_gamma 90.00
loop_
_atom_site_label
_atom_site_type_symbol
_atom_site_fract_x
_atom_site_fract_y
_atom_site_fract_z
In1 In 0.0000 0.0000 0.0000
Sn1 Sn 0.0000 0.0000 0.5000
Ir1 Ir 0.2500 0.2500 0.2500
Ru1 Ru 0.2500 0.2500 0.7500


(5)
# Tb5In2IrRu2, relaxed, DFT PBE
# Formation energy from the elements in eV per atom: -0.415
data_Tb5In2IrRu2
_chemical_formula_sum 'Tb10 In4 Ir2 Ru4'
_space_group_name_H-M_alt 'P 4/m b m'
_space_group_IT_number 127
_space_group_name_Hall '-P 4 2ab'
_cell_length_a 11.6806
_cell_length_b 11.6806
_cell_length_c 3.5093
_cell_angle_alpha 90.00
_cell_angle_beta 90.00
_cell_angle_gamma 90.00
loop_
_atom_site_label
_atom_site_type_symbol
_atom_site_fract_x
_atom_site_fract_y
_atom_site_fract_z
Tb1 Tb 0.0000 0.5000 0.0000
Tb2 Tb 0.0629 0.1956 0.0000
In1 In 0.1826 0.6826 0.5000
Ir1 Ir 0.0000 0.0000 0.5000
Ru1 Ru 0.1368 0.3632 0.5000


(6)
# Tb5In2Ir2Ru, relaxed, DFT PBE
# Formation energy from the elements in eV per atom: -0.523
data_Tb5In2Ir2Ru
_chemical_formula_sum 'Tb10 In4 Ir4 Ru2'
_space_group_name_H-M_alt 'P 4/m b m'
_space_group_IT_number 127
_space_group_name_Hall '-P 4 2ab'
_cell_length_a 11.6953
_cell_length_b 11.6953
_cell_length_c 3.5519
_cell_angle_alpha 90.00
_cell_angle_beta 90.00
_cell_angle_gamma 90.00
loop_
_atom_site_label
_atom_site_type_symbol
_atom_site_fract_x
_atom_site_fract_y
_atom_site_fract_z
Tb1 Tb 0.0000 0.5000 0.0000
Tb2 Tb 0.0646 0.1945 0.0000
In1 In 0.1803 0.6803 0.5000
Ir1 Ir 0.1372 0.3628 0.5000
Ru1 Ru 0.0000 0.0000 0.5000


(7)
# InTc2IrRu, relaxed, DFT PBE
# Formation energy from the elements in eV per atom: 2.652
data_InTc2IrRu
_chemical_formula_sum 'In1 Tc2 Ir1 Ru1'
_space_group_name_H-M_alt 'P 4/m m m'
_space_group_IT_number 123
_space_group_name_Hall '-P 4 2'
_cell_length_a 4.7580
_cell_length_b 4.7580
_cell_length_c 4.6827
_cell_angle_alpha 90.00
_cell_angle_beta 90.00
_cell_angle_gamma 90.00
loop_
_atom_site_label
_atom_site_type_symbol
_atom_site_fract_x
_atom_site_fract_y
_atom_site_fract_z
In1 In 0.0000 0.0000 0.0000
Tc1 Tc 0.0000 0.5000 0.0000
Ir1 Ir 0.5000 0.5000 0.5000
Ru1 Ru 0.0000 0.0000 0.5000


(8)
# ThInIrRu, relaxed, DFT PBE
# Formation energy from the elements in eV per atom: -0.390
data_ThInIrRu
_chemical_formula_sum 'Th4 In4 Ir4 Ru4'
_space_group_name_H-M_alt 'F -4 3 m'
_space_group_IT_number 216
_space_group_name_Hall 'F -4 2 3'
_cell_length_a 6.8391
_cell_length_b 6.8391
_cell_length_c 6.8391
_cell_angle_alpha 90.00
_cell_angle_beta 90.00
_cell_angle_gamma 90.00
loop_
_atom_site_label
_atom_site_type_symbol
_atom_site_fract_x
_atom_site_fract_y
_atom_site_fract_z
Th1 Th 0.0000 0.0000 0.0000
In1 In 0.0000 0.0000 0.5000
Ir1 Ir 0.2500 0.2500 0.2500
Ru1 Ru 0.2500 0.2500 0.7500